Below is crystalline Ga3BMo at its relaxed geometry, with properties calculated at the PBE level.

Calculated values
Its crystal system is cubic. Its space group is Pm-3m, No. 221. For the formation energy, the calculation gives 1.28 eV/atom. The energy above the most stable polymorph in this dataset comes out at 421 meV per atom.

a b c (Å): 4.896 4.896 4.896
angles (deg): 90.00 90.00 90.00
Sites, in units of the cell vectors:
1 Mo 0.000 0.000 0.000
2 B 0.500 0.500 0.500
3 Ga 0.000 0.500 0.000
4 Ga 0.000 0.000 0.500
5 Ga 0.500 0.000 0.000

=====

Below is crystalline DyYGaPt at its relaxed geometry, with properties calculated at the PBE level.

Calculated values
Its crystal system is cubic. Its space group is F-43m, No. 216. For the formation energy, the calculation gives -0.87 eV/atom. The energy above the most stable polymorph in this dataset comes out at 79 meV per atom.

a b c (Å): 5.011 5.011 5.011
angles (deg): 60.00 60.00 60.00
Sites, in units of the cell vectors:
1 Y 0.000 0.000 0.000
2 Ga 0.250 0.250 0.250
3 Pt 0.750 0.750 0.750
4 Dy 0.500 0.500 0.500